Record 1
DFT (PBE) results for a relaxed Pm3CdIn3 crystal.

Computed properties:
distance to the lowest polymorph of the same formula = 121 meV/atom

Cell lengths 9.1562, 9.1562, 5.3858 Å; angles 90.00, 90.00, 120.00 degrees
Space group P6_3/m (No. 176)
Asymmetric unit:
Pm: 0.0936 0.6431 0.2500 x6
Cd: 0.3333 0.6667 0.7500 x2
In: 0.0454 0.8157 0.7500 x6

Record 2
DFT (PBE) results for a relaxed Pm2CdIn9 crystal.

Cell lengths 4.726, 4.726, 13.933 Å; angles 90.00, 90.00, 90.00 degrees
Space group P4/mmm (No. 123)
Asymmetric unit:
Pm: 0.000 0.000 0.167 x2
Cd: 0.000 0.000 0.500 x1
In: 0.000 0.500 0.000 x2
In: 0.000 0.500 0.341 x4
In: 0.500 0.500 0.165 x2
In: 0.500 0.500 0.500 x1

Record 3
DFT (PBE) results for a relaxed Pm2Cd3In2 crystal.

Computed properties:
distance to the lowest polymorph of the same formula = 0 meV/atom

Cell lengths 11.367, 4.787, 7.199 Å; angles 90.00, 111.55, 90.00 degrees
Space group C2/m (No. 12)
Asymmetric unit:
Pm: 0.151 0.000 0.264 x4
Cd: 0.000 0.500 0.500 x2
Cd: 0.099 0.500 0.930 x4
In: 0.150 0.000 0.733 x4

Record 4
DFT (PBE) results for a relaxed Pm3Cd4In crystal.

Computed properties:
distance to the lowest polymorph of the same formula = 0 meV/atom

Cell lengths 3.695, 10.046, 12.382 Å; angles 90.00, 90.00, 90.00 degrees
Space group Immm (No. 71)
Asymmetric unit:
Pm: 0.000 0.000 0.000 x2
Pm: 0.000 0.500 0.213 x4
Cd: 0.000 0.259 0.374 x8
In: 0.000 0.000 0.500 x2

Record 5
DFT (PBE) results for a relaxed PmCdIn3 crystal.

Cell lengths 4.605, 7.524, 7.745 Å; angles 90.00, 90.00, 90.00 degrees
Space group Pmmn (No. 59, origin choice 2)
Asymmetric unit:
Pm: 0.250 0.250 0.192 x2
Cd: 0.250 0.750 0.480 x2
In: 0.250 0.051 0.723 x4
In: 0.250 0.750 0.092 x2

Record 6
DFT (PBE) results for a relaxed Pm6Cd5In crystal.

Cell lengths 9.426, 16.217, 5.401 Å; angles 90.00, 124.89, 90.00 degrees
Space group C2/m (No. 12)
Asymmetric unit:
Pm: 0.250 0.000 0.249 x4
Pm: 0.250 0.167 0.750 x8
Cd: 0.000 0.000 0.500 x2
Cd: 0.000 0.167 0.000 x4
Cd: 0.000 0.332 0.500 x4
In: 0.000 0.500 0.000 x2

Record 7
DFT (PBE) results for a relaxed Pm3Cd2In crystal.

Computed properties:
distance to the lowest polymorph of the same formula = 2 meV/atom

Cell lengths 3.785, 3.785, 11.852 Å; angles 90.00, 90.00, 90.00 degrees
Space group P4/mmm (No. 123)
Asymmetric unit:
Pm: 0.000 0.000 0.000 x1
Pm: 0.000 0.000 0.331 x2
Cd: 0.500 0.500 0.163 x2
In: 0.500 0.500 0.500 x1

Record 8
DFT (PBE) results for a relaxed Pm3Cd3In crystal.

Cell lengths 3.647, 4.952, 21.360 Å; angles 90.00, 90.00, 90.00 degrees
Space group Imm2 (No. 44)
Asymmetric unit:
Pm: 0.000 0.000 0.000 x2
Pm: 0.000 0.000 0.398 x2
Pm: 0.000 0.500 0.200 x2
Cd: 0.000 0.000 0.557 x2
Cd: 0.000 0.000 0.842 x2
Cd: 0.000 0.500 0.630 x2
In: 0.000 0.500 0.766 x2

Record 9
DFT (PBE) results for a relaxed Pm2CdIn2 crystal.

Computed properties:
distance to the lowest polymorph of the same formula = 0 meV/atom

Cell lengths 11.512, 4.871, 11.128 Å; angles 90.00, 115.84, 90.00 degrees
Space group C2/m (No. 12)
Asymmetric unit:
Pm: 0.022 0.000 0.335 x4
Pm: 0.175 0.000 0.090 x4
Cd: 0.223 0.500 0.340 x4
In: 0.030 0.500 0.880 x4
In: 0.139 0.500 0.575 x4

Record 10
DFT (PBE) results for a relaxed Pm11Cd4In9 crystal.

Cell lengths 15.272, 22.968, 3.839 Å; angles 90.00, 90.00, 90.00 degrees
Space group Cmmm (No. 65)
Asymmetric unit:
Pm: 0.000 0.000 0.000 x2
Pm: 0.000 0.163 0.000 x4
Pm: 0.000 0.361 0.000 x4
Pm: 0.219 0.500 0.000 x4
Pm: 0.234 0.176 0.000 x8
Cd: 0.150 0.402 0.500 x8
In: 0.000 0.500 0.500 x2
In: 0.106 0.263 0.500 x8
In: 0.136 0.077 0.500 x8

Record 11
DFT (PBE) results for a relaxed PmCd23In6 crystal.

Cell lengths 14.343, 14.343, 14.343 Å; angles 90.00, 90.00, 90.00 degrees
Space group Fm-3m (No. 225)
Asymmetric unit:
Pm: 0.000 0.000 0.000 x4
Cd: 0.000 0.000 0.500 x4
Cd: 0.000 0.250 0.250 x24
Cd: 0.128 0.128 0.372 x32
Cd: 0.144 0.144 0.144 x32
In: 0.000 0.000 0.236 x24

Record 12
DFT (PBE) results for a relaxed Pm2Cd3In crystal.

Cell lengths 7.214, 10.016, 17.350 Å; angles 90.00, 90.00, 90.00 degrees
Space group Fmmm (No. 69)
Asymmetric unit:
Pm: 0.248 0.000 0.000 x8
Pm: 0.250 0.250 0.250 x8
Cd: 0.000 0.000 0.166 x8
Cd: 0.000 0.250 0.083 x16
In: 0.000 0.000 0.334 x8

Record 13
DFT (PBE) results for a relaxed Pm2Cd12In crystal.

Cell lengths 6.414, 6.414, 18.558 Å; angles 90.00, 90.00, 90.00 degrees
Space group P4/nbm (No. 125, origin choice 2)
Asymmetric unit:
Pm: 0.250 0.750 0.246 x4
Cd: 0.000 0.000 0.399 x8
Cd: 0.086 0.586 0.068 x8
Cd: 0.250 0.250 0.157 x4
Cd: 0.250 0.250 0.304 x4
In: 0.250 0.750 0.500 x2

Record 14
DFT (PBE) results for a relaxed Pm4Cd2In crystal.

Cell lengths 5.3549, 5.3549, 25.6850 Å; angles 90.00, 90.00, 120.00 degrees
Space group R-3m (No. 166, hexagonal axes)
Asymmetric unit:
Pm: 0.0000 0.0000 0.1161 x6
Pm: 0.0000 0.0000 0.3694 x6
Cd: 0.0000 0.0000 0.2445 x6
In: 0.0000 0.0000 0.5000 x3

Record 15
DFT (PBE) results for a relaxed Pm2CdIn2 crystal.

Computed properties:
distance to the lowest polymorph of the same formula = 53 meV/atom

Cell lengths 4.572, 18.457, 6.502 Å; angles 90.00, 90.00, 90.00 degrees
Space group Cmc2_1 (No. 36)
Asymmetric unit:
Pm: 0.000 0.002 0.000 x4
Pm: 0.000 0.206 0.989 x4
Cd: 0.000 0.395 0.745 x4
In: 0.000 0.175 0.487 x4
In: 0.000 0.396 0.247 x4

Record 16
DFT (PBE) results for a relaxed Pm3CdIn2 crystal.

Computed properties:
distance to the lowest polymorph of the same formula = 0 meV/atom

Cell lengths 5.4470, 5.4470, 13.3162 Å; angles 90.00, 90.00, 120.00 degrees
Space group P-3m1 (No. 164)
Asymmetric unit:
Pm: 0.0000 0.0000 0.2501 x2
Pm: 0.3333 0.6667 0.4165 x2
Pm: 0.3333 0.6667 0.9170 x2
Cd: 0.3333 0.6667 0.1674 x2
In: 0.0000 0.0000 0.0000 x1
In: 0.0000 0.0000 0.5000 x1
In: 0.3333 0.6667 0.6705 x2

Record 17
DFT (PBE) results for a relaxed Pm3Cd4In2 crystal.

Cell lengths 11.272, 5.000, 9.432 Å; angles 90.00, 117.47, 90.00 degrees
Space group C2/m (No. 12)
Asymmetric unit:
Pm: 0.000 0.000 0.000 x2
Pm: 0.166 0.500 0.670 x4
Cd: 0.075 0.000 0.410 x4
Cd: 0.206 0.500 0.036 x4
In: 0.110 0.500 0.275 x4

Record 18
DFT (PBE) results for a relaxed PmCd2In3 crystal.

Cell lengths 4.643, 13.985, 4.632 Å; angles 90.00, 90.00, 90.00 degrees
Space group Cmmm (No. 65)
Asymmetric unit:
Pm: 0.000 0.000 0.000 x2
Cd: 0.000 0.326 0.000 x4
In: 0.000 0.170 0.500 x4
In: 0.000 0.500 0.500 x2

Record 19
DFT (PBE) results for a relaxed Pm3CdIn3 crystal.

Computed properties:
distance to the lowest polymorph of the same formula = 0 meV/atom

Cell lengths 11.614, 4.813, 15.235 Å; angles 90.00, 108.48, 90.00 degrees
Space group C2/m (No. 12)
Asymmetric unit:
Pm: 0.039 0.000 0.383 x4
Pm: 0.098 0.000 0.919 x4
Pm: 0.235 0.000 0.218 x4
Cd: 0.243 0.500 0.389 x4
In: 0.023 0.500 0.232 x4
In: 0.118 0.500 0.072 x4
In: 0.129 0.500 0.550 x4

Record 20
DFT (PBE) results for a relaxed Pm2Cd3In2 crystal.

Computed properties:
distance to the lowest polymorph of the same formula = 76 meV/atom

Cell lengths 4.724, 22.319, 3.508 Å; angles 90.00, 90.00, 90.00 degrees
Space group Cmmm (No. 65)
Asymmetric unit:
Pm: 0.000 0.151 0.000 x4
Cd: 0.000 0.000 0.000 x2
Cd: 0.000 0.432 0.500 x4
In: 0.000 0.288 0.500 x4

| no. | calculated volume (Å³/atom) | total DFT energy (no corrections) (eV per atom) |
| --- | --- | --- |
| 1 | 27.9 | -3.6556 |
| 2 | 25.9 | -3.1917 |
| 3 | 26.0 | -2.8771 |
| 4 | 28.7 | -2.7658 |
| 5 | 26.8 | -2.9770 |
| 6 | 28.2 | -3.3337 |
| 7 | 28.3 | -3.5115 |
| 8 | 27.6 | -3.1486 |
| 9 | 28.1 | -3.6125 |
| 10 | 28.1 | -3.7668 |
| 11 | 24.6 | -1.4048 |
| 12 | 26.1 | -2.8847 |
| 13 | 25.4 | -1.6298 |
| 14 | 30.4 | -3.5794 |
| 15 | 27.4 | -3.5594 |
| 16 | 28.5 | -3.8865 |
| 17 | 26.2 | -3.0130 |
| 18 | 25.1 | -2.7257 |
| 19 | 28.8 | -3.7765 |
| 20 | 26.4 | -2.8013 |